No. 1
Density functional theory data (PBE) for a relaxed Rb2SrZn crystal.

Cell: 9.2164 9.2164 9.2164 Å, 97.56 97.56 137.47°
Fractional positions:
1 Rb 0.0188 0.1250 0.3938
2 Rb 0.3750 0.9812 0.1062
3 Rb 0.7312 0.6250 0.6062
4 Rb 0.8750 0.2688 0.8938
5 Sr 0.2500 0.7500 0.5000
6 Sr 0.5000 0.5000 0.0000
7 Zn 0.0000 0.0000 0.0000
8 Zn 0.7500 0.2500 0.5000

=====

No. 2
Density functional theory data (PBE) for a relaxed Rb2Sr2Zn crystal.

Cell: 8.6893 8.6893 7.7967 Å, 90.00 90.00 90.00°
Fractional positions:
1 Rb 0.1777 0.3223 0.0000
2 Rb 0.3223 0.8223 0.0000
3 Rb 0.6777 0.1777 0.0000
4 Rb 0.8223 0.6777 0.0000
5 Sr 0.1728 0.6728 0.5000
6 Sr 0.3272 0.1728 0.5000
7 Sr 0.6728 0.8272 0.5000
8 Sr 0.8272 0.3272 0.5000
9 Zn 0.0000 0.0000 0.5000
10 Zn 0.5000 0.5000 0.5000

=====

No. 3
Density functional theory data (PBE) for a relaxed Rb2SrZn2 crystal.

Cell: 8.6682 8.6682 8.6682 Å, 145.16 145.16 50.10°
Fractional positions:
1 Rb 0.2500 0.7500 0.5000
2 Rb 0.7500 0.2500 0.5000
3 Sr 0.0000 0.0000 0.0000
4 Zn 0.4200 0.4200 0.0000
5 Zn 0.5800 0.5800 0.0000

E above lowest polymorph = 79 meV per atom

=====

No. 4
Density functional theory data (PBE) for a relaxed RbSrZr2 crystal.

Cell: 5.7731 5.7731 5.7731 Å, 60.00 60.00 60.00°
Fractional positions:
1 Rb 0.0000 0.0000 0.0000
2 Sr 0.5000 0.5000 0.5000
3 Zr 0.2500 0.2500 0.2500
4 Zr 0.7500 0.7500 0.7500

E above lowest polymorph = 220 meV per atom

=====

| no. | ΔH_f (0 K) (meV/atom) |
| --- | --- |
| 1 | 224 |
| 2 | 153 |
| 3 | 193 |
| 4 | 1356 |